[1]
Density functional theory data (PBE) for crystalline Ni2IrAu at its relaxed geometry.

Unit cell a=2.689 b=4.110 c=5.147 alpha=90.00 beta=105.07 gamma=90.00
Element x y z (fractional)
Ni1 0.000 0.000 0.000
Ni2 0.131 0.500 0.269
Ir1 0.408 0.500 0.818
Au1 0.739 0.000 0.484

Properties
As for the space group: Pm, No. 6. As for the formation energy: 0.195 eV per atom. The distance to the lowest polymorph of the same formula comes out at 124 meV/atom.

[2]
Density functional theory data (PBE) for crystalline TbPr5HoTm2 at its relaxed geometry.

Unit cell a=10.655 b=10.655 c=10.758 alpha=90.00 beta=90.00 gamma=149.26
Element x y z (fractional)
Tb1 0.198 0.802 0.500
Tb2 0.802 0.198 0.000
Pr1 0.015 0.985 0.504
Pr2 0.279 0.721 0.802
Pr3 0.297 0.703 0.195
Pr4 0.383 0.617 0.509
Pr5 0.485 0.515 0.233
Pr6 0.515 0.485 0.733
Pr7 0.617 0.383 0.009
Pr8 0.703 0.297 0.695
Pr9 0.721 0.279 0.302
Pr10 0.985 0.015 0.004
Ho1 0.407 0.593 0.953
Ho2 0.593 0.407 0.453
Tm1 0.112 0.888 0.230
Tm2 0.114 0.886 0.794
Tm3 0.886 0.114 0.294
Tm4 0.888 0.112 0.730

Properties
As for the space group: Cmc2_1, No. 36. As for the formation energy: 0.144 eV per atom.

[3]
Density functional theory data (PBE) for crystalline Y8Ir2Pd at its relaxed geometry.

Unit cell a=7.577 b=7.577 c=5.908 alpha=99.43 beta=99.43 gamma=111.60
Element x y z (fractional)
Y1 0.000 0.000 0.000
Y2 0.028 0.291 0.591
Y3 0.143 0.592 0.187
Y4 0.291 0.028 0.591
Y5 0.438 0.701 0.790
Y6 0.592 0.143 0.187
Y7 0.701 0.438 0.790
Y8 0.734 0.734 0.377
Ir1 0.052 0.676 0.687
Ir2 0.676 0.052 0.687
Pd1 0.366 0.366 0.048

Properties
As for the space group: Cm, No. 8. As for the formation energy: -0.453 eV per atom.

[4]
Density functional theory data (PBE) for crystalline ScPaCr4 at its relaxed geometry.

Unit cell a=5.078 b=5.078 c=5.078 alpha=60.00 beta=60.00 gamma=60.00
Element x y z (fractional)
Sc1 0.000 0.000 0.000
Pa1 0.250 0.250 0.250
Cr1 0.126 0.625 0.625
Cr2 0.625 0.126 0.625
Cr3 0.625 0.625 0.126
Cr4 0.625 0.625 0.625

Properties
As for the space group: F-43m, No. 216. As for the formation energy: 0.140 eV per atom.

[5]
Density functional theory data (PBE) for crystalline BaMnZnP at its relaxed geometry.

Unit cell a=3.788 b=3.788 c=12.596 alpha=90.00 beta=90.00 gamma=90.00
Element x y z (fractional)
Ba1 0.250 0.250 0.243
Ba2 0.750 0.750 0.757
Mn1 0.250 0.750 0.000
Mn2 0.750 0.250 0.000
Zn1 0.250 0.750 0.500
Zn2 0.750 0.250 0.500
P1 0.250 0.250 0.897
P2 0.750 0.750 0.103

Properties
As for the space group: P4/nmm, No. 129. As for the formation energy: -0.503 eV per atom.

[6]
Density functional theory data (PBE) for crystalline PuCoBr at its relaxed geometry.

Unit cell a=11.574 b=11.574 c=11.574 alpha=19.49 beta=19.49 gamma=19.49
Element x y z (fractional)
Pu1 0.056 0.056 0.056
Pu2 0.944 0.944 0.944
Co1 0.334 0.334 0.334
Co2 0.666 0.666 0.666
Br1 0.220 0.220 0.220
Br2 0.780 0.780 0.780

Properties
As for the space group: R-3m, No. 166. Its raw formation energy is -0.713 eV/atom.

[7]
Density functional theory data (PBE) for crystalline Zn5Cl at its relaxed geometry.

Unit cell a=6.493 b=6.493 c=7.905 alpha=126.54 beta=126.54 gamma=25.73
Element x y z (fractional)
Zn1 0.000 0.000 0.000
Zn2 0.015 0.015 0.678
Zn3 0.280 0.280 0.827
Zn4 0.386 0.386 0.337
Zn5 0.695 0.695 0.016
Cl1 0.585 0.585 0.329

Properties
As for the space group: Cm, No. 8. Its raw formation energy is -0.030 eV/atom. The distance to the lowest polymorph of the same formula comes out at 0 meV/atom.

[8]
Density functional theory data (PBE) for crystalline Na4Sr3Hg4 at its relaxed geometry.

Unit cell a=10.016 b=10.016 c=10.016 alpha=153.70 beta=125.45 gamma=61.54
Element x y z (fractional)
Na1 0.017 0.829 0.188
Na2 0.360 0.171 0.188
Na3 0.640 0.829 0.812
Na4 0.983 0.171 0.812
Sr1 0.000 0.500 0.500
Sr2 0.388 0.388 0.000
Sr3 0.612 0.612 0.000
Hg1 0.241 0.741 0.500
Hg2 0.304 0.000 0.304
Hg3 0.696 0.000 0.696
Hg4 0.759 0.259 0.500

Properties
As for the space group: Immm, No. 71. As for the formation energy: -0.306 eV per atom.

What did the sixth record say?
Density functional theory data (PBE) for crystalline PuCoBr at its relaxed geometry.

Unit cell a=11.574 b=11.574 c=11.574 alpha=19.49 beta=19.49 gamma=19.49
Element x y z (fractional)
Pu1 0.056 0.056 0.056
Pu2 0.944 0.944 0.944
Co1 0.334 0.334 0.334
Co2 0.666 0.666 0.666
Br1 0.220 0.220 0.220
Br2 0.780 0.780 0.780

Properties
As for the space group: R-3m, No. 166. Its raw formation energy is -0.713 eV/atom.